(1)
{"formula": "MgTaAu", "functional": "GGA-PBE", "state": "relaxed", "ef_mev_per_atom": -42, "relative_energy_kj_per_mol_fu": 45, "dft_energy_ev_per_atom": -5.62, "cell": [[-2.365, -5.367, -1.937], [1.883, -0.782, 2.273], [-4.140, 2.509, 4.285]], "species": ["Au", "Au", "Mg", "Mg", "Ta", "Ta"], "frac_coords": [[0.376, 0.058, 0.070], [0.376, 0.058, 0.570], [0.682, 0.711, 0.900], [0.070, 0.405, 0.240], [0.043, 0.391, 0.719], [0.710, 0.725, 0.420]]}



(2)
{"formula": "BaMgIn2", "functional": "GGA-PBE", "state": "relaxed", "ef_mev_per_atom": -177, "dft_energy_ev_per_atom": -2.43, "cell": [[3.955, 0.000, 0.000], [0.000, 3.955, 0.000], [0.000, 0.000, 8.112]], "species": ["In", "In", "Ba", "Mg"], "frac_coords": [[0.000, 0.000, 0.050], [0.500, 0.500, 0.257], [0.500, 0.500, 0.755], [0.000, 0.000, 0.437]]}



(3)
{"formula": "PrNd7Sc4", "functional": "GGA-PBE", "state": "relaxed", "ef_mev_per_atom": 40, "dft_energy_ev_per_atom": -5.25, "cell": [[6.338, -1.853, 2.760], [0.716, 5.736, 2.217], [2.750, -2.267, 10.758]], "species": ["Sc", "Sc", "Sc", "Sc", "Nd", "Nd", "Nd", "Nd", "Nd", "Nd", "Nd", "Pr"], "frac_coords": [[0.599, 0.271, 0.662], [0.401, 0.729, 0.338], [0.843, 0.788, 0.658], [0.157, 0.212, 0.342], [0.500, 0.000, 0.000], [0.664, 0.226, 0.337], [0.084, 0.289, 0.659], [0.336, 0.774, 0.663], [0.916, 0.711, 0.341], [0.269, 0.499, 0.990], [0.731, 0.501, 0.010], [0.000, 0.000, 0.000]]}



(4)
{"formula": "CePrTl2", "functional": "GGA-PBE", "state": "relaxed", "ef_mev_per_atom": -300, "dft_energy_ev_per_atom": -4.16, "cell": [[-1.888, -4.120, 0.483], [3.849, -1.409, 3.032], [-2.591, 1.664, 4.063]], "species": ["Tl", "Tl", "Pr", "Ce"], "frac_coords": [[0.000, 0.000, 0.500], [0.000, 0.500, 0.000], [0.500, 0.000, 0.000], [0.500, 0.500, 0.500]]}



(5)
{"formula": "ReHg", "functional": "GGA-PBE", "state": "relaxed", "ef_mev_per_atom": 705, "relative_energy_kj_per_mol_fu": 60, "dft_energy_ev_per_atom": -5.67, "cell": [[1.452, 6.516, -0.483], [-1.452, 6.516, -0.483], [0.000, 0.444, 6.057]], "species": ["Re", "Re", "Re", "Hg", "Hg", "Hg"], "frac_coords": [[0.944, 0.944, 0.639], [0.314, 0.314, 0.429], [0.314, 0.314, 0.849], [0.668, 0.668, 0.139], [0.635, 0.635, 0.639], [0.958, 0.958, 0.139]]}



(6)
{"formula": "In2HgP", "functional": "GGA-PBE", "state": "relaxed", "ef_mev_per_atom": 127, "relative_energy_kj_per_mol_fu": 58, "dft_energy_ev_per_atom": -2.67, "cell": [[-2.674, 2.991, 0.214], [-2.106, -1.805, -1.081], [-1.927, -2.265, 7.577]], "species": ["In", "In", "Hg", "P"], "frac_coords": [[0.000, 0.255, 0.479], [0.000, 0.245, 0.021], [0.500, 0.750, 0.750], [0.500, 0.250, 0.250]]}



(7)
{"formula": "Ba2Os2Pd", "functional": "GGA-PBE", "state": "relaxed", "ef_mev_per_atom": 1057, "relative_energy_kj_per_mol_fu": 353, "dft_energy_ev_per_atom": -5.24, "cell": [[9.468, 0.000, 0.000], [0.000, 9.468, 0.000], [0.000, 0.000, 3.101]], "species": ["Ba", "Ba", "Ba", "Ba", "Os", "Os", "Os", "Os", "Pd", "Pd"], "frac_coords": [[0.702, 0.202, 0.000], [0.202, 0.298, 0.000], [0.298, 0.798, 0.000], [0.798, 0.702, 0.000], [0.917, 0.417, 0.500], [0.083, 0.583, 0.500], [0.417, 0.083, 0.500], [0.583, 0.917, 0.500], [0.000, 0.000, 0.000], [0.500, 0.500, 0.000]]}



(8)
{"formula": "BaLiOs2", "functional": "GGA-PBE", "state": "relaxed", "ef_mev_per_atom": 708, "relative_energy_kj_per_mol_fu": 182, "dft_energy_ev_per_atom": -5.87, "cell": [[5.265, -0.211, 0.037], [0.830, 5.203, -0.037], [-2.482, -3.187, 3.384]], "species": ["Os", "Os", "Ba", "Li"], "frac_coords": [[0.822, 0.322, 0.500], [0.959, 0.959, 0.000], [0.512, 0.512, 0.000], [0.207, 0.707, 0.500]]}



(9)
{"formula": "TeS2Br2", "functional": "GGA-PBE", "state": "relaxed", "relative_energy_kj_per_mol_fu": 209, "dft_energy_ev_per_atom": -2.68, "cell": [[7.358, 0.000, 0.000], [0.000, 7.358, 0.000], [0.000, 0.000, 5.130]], "species": ["S", "S", "S", "S", "Br", "Br", "Br", "Br", "Te", "Te"], "frac_coords": [[0.307, 0.193, 0.000], [0.193, 0.693, 0.000], [0.693, 0.807, 0.000], [0.807, 0.307, 0.000], [0.822, 0.322, 0.500], [0.678, 0.822, 0.500], [0.322, 0.178, 0.500], [0.178, 0.678, 0.500], [0.000, 0.000, 0.000], [0.500, 0.500, 0.000]]}



(10)
{"formula": "Mg3In4Sn", "functional": "GGA-PBE", "state": "relaxed", "ef_mev_per_atom": -66, "relative_energy_kj_per_mol_fu": 0, "dft_energy_ev_per_atom": -2.53, "cell": [[-2.483, -0.527, -2.298], [3.507, -2.639, -3.184], [-4.663, -6.270, 9.027]], "species": ["In", "In", "In", "In", "Mg", "Mg", "Mg", "Sn"], "frac_coords": [[0.748, 0.741, 0.495], [0.623, 0.844, 0.246], [0.252, 0.259, 0.505], [0.377, 0.156, 0.754], [0.877, 0.653, 0.754], [0.000, 0.500, 0.000], [0.123, 0.347, 0.246], [0.500, 0.000, 0.000]]}



(11)
{"formula": "Pr3HoP2N6", "functional": "GGA-PBE", "state": "relaxed", "dft_energy_ev_per_atom": -7.79, "cell": [[-1.881, 2.503, 4.812], [-3.370, -3.694, -2.820], [2.412, -4.843, 3.462]], "species": ["N", "N", "N", "N", "N", "N", "Ho", "Pr", "Pr", "Pr", "P", "P"], "frac_coords": [[0.181, 0.362, 0.286], [0.819, 0.638, 0.714], [0.819, 0.181, 0.714], [0.181, 0.819, 0.286], [0.638, 0.819, 0.286], [0.362, 0.181, 0.714], [0.000, 0.000, 0.500], [0.000, 0.000, 0.000], [0.667, 0.333, 0.350], [0.333, 0.667, 0.650], [0.667, 0.333, 0.829], [0.333, 0.667, 0.171]]}



(12)
{"formula": "Ba2AuCl", "functional": "GGA-PBE", "state": "relaxed", "relative_energy_kj_per_mol_fu": 62, "dft_energy_ev_per_atom": -3.37, "cell": [[-3.209, 2.738, -7.247], [-7.583, 0.497, 3.546], [-4.503, 6.068, -0.564]], "species": ["Au", "Au", "Ba", "Ba", "Ba", "Ba", "Cl", "Cl"], "frac_coords": [[0.000, 0.000, 0.000], [0.750, 0.250, 0.500], [0.375, 0.379, 0.750], [0.875, 0.871, 0.750], [0.621, 0.125, 0.250], [0.129, 0.625, 0.250], [0.500, 0.500, 0.000], [0.250, 0.750, 0.500]]}



(13)
{"formula": "MoPbI2", "functional": "GGA-PBE", "state": "relaxed", "relative_energy_kj_per_mol_fu": 194, "dft_energy_ev_per_atom": -3.52, "cell": [[-2.045, -4.226, 2.398], [1.150, -0.979, 5.051], [-3.696, 0.605, 3.710]], "species": ["Pb", "Mo", "I", "I"], "frac_coords": [[0.500, 0.500, 0.500], [0.000, 0.000, 0.000], [0.250, 0.250, 0.250], [0.750, 0.750, 0.750]]}



(14)
{"formula": "SrCa4Pb", "functional": "GGA-PBE", "state": "relaxed", "ef_mev_per_atom": 71, "dft_energy_ev_per_atom": -2.16, "cell": [[2.452, -5.932, -2.943], [-3.619, -6.027, 0.663], [-3.283, -2.781, -5.599]], "species": ["Pb", "Sr", "Ca", "Ca", "Ca", "Ca"], "frac_coords": [[0.750, 0.750, 0.750], [0.000, 0.000, 0.000], [0.376, 0.376, 0.376], [0.376, 0.376, 0.873], [0.376, 0.873, 0.376], [0.873, 0.376, 0.376]]}



(15)
{"formula": "La4PAuCl2", "functional": "GGA-PBE", "state": "relaxed", "dft_energy_ev_per_atom": -5.44, "cell": [[-3.501, -1.220, 2.149], [-2.135, -3.912, -5.698], [2.770, -7.029, 0.523]], "species": ["La", "La", "La", "La", "P", "Cl", "Cl", "Au"], "frac_coords": [[0.500, 0.261, 0.734], [0.500, 0.739, 0.266], [0.000, 0.744, 0.741], [0.000, 0.256, 0.259], [0.000, 0.500, 0.500], [0.000, 0.000, 0.000], [0.500, 0.000, 0.500], [0.500, 0.500, 0.000]]}



(16)
{"formula": "Ac2PrGe3Au12", "functional": "GGA-PBE", "state": "relaxed", "ef_mev_per_atom": -191, "dft_energy_ev_per_atom": -3.87, "cell": [[8.382, -0.404, -0.287], [3.788, 7.488, -0.287], [3.788, 2.205, 7.162]], "species": ["Au", "Au", "Au", "Au", "Au", "Au", "Au", "Au", "Au", "Au", "Au", "Au", "Ge", "Ge", "Ge", "Ac", "Ac", "Pr"], "frac_coords": [[0.844, 0.317, 0.317], [0.147, 0.600, 0.147], [0.600, 0.147, 0.147], [0.400, 0.853, 0.853], [0.683, 0.683, 0.156], [0.317, 0.317, 0.844], [0.853, 0.400, 0.853], [0.683, 0.156, 0.683], [0.156, 0.683, 0.683], [0.317, 0.844, 0.317], [0.853, 0.853, 0.400], [0.147, 0.147, 0.600], [0.500, 0.000, 0.000], [0.000, 0.000, 0.500], [0.000, 0.500, 0.000], [0.399, 0.399, 0.399], [0.601, 0.601, 0.601], [0.000, 0.000, 0.000]]}



(17)
{"formula": "KAl2Sb2", "functional": "GGA-PBE", "state": "relaxed", "dft_energy_ev_per_atom": -3.36, "cell": [[-3.926, -0.961, 7.230], [5.810, -5.376, 2.441], [2.016, 2.848, 1.473]], "species": ["Al", "Al", "Al", "Al", "K", "K", "Sb", "Sb", "Sb", "Sb"], "frac_coords": [[0.880, 0.620, 0.000], [0.120, 0.380, 0.000], [0.380, 0.880, 0.000], [0.620, 0.120, 0.000], [0.000, 0.000, 0.000], [0.500, 0.500, 0.000], [0.658, 0.842, 0.500], [0.842, 0.342, 0.500], [0.342, 0.158, 0.500], [0.158, 0.658, 0.500]]}



(18)
{"formula": "K3NdY2O6", "functional": "GGA-PBE", "state": "relaxed", "dft_energy_ev_per_atom": -6.92, "cell": [[6.137, -0.001, 0.000], [-3.068, 5.315, 0.000], [-1.023, -1.772, 6.281]], "species": ["O", "O", "O", "O", "O", "O", "Nd", "K", "K", "K", "Y", "Y"], "frac_coords": [[0.937, 0.595, 0.812], [0.720, 0.720, 0.188], [0.405, 0.063, 0.188], [0.280, 0.280, 0.812], [0.063, 0.405, 0.188], [0.595, 0.937, 0.812], [0.000, 0.000, 0.000], [0.832, 0.168, 0.500], [0.500, 0.500, 0.500], [0.168, 0.832, 0.500], [0.667, 0.333, 0.000], [0.333, 0.667, 0.000]]}



(19)
{"formula": "Co3Pt12Rh", "functional": "GGA-PBE", "state": "relaxed", "ef_mev_per_atom": -59, "dft_energy_ev_per_atom": -6.38, "cell": [[-1.621, -3.533, 0.236], [2.228, -0.816, 3.088], [-11.068, 5.709, 9.492]], "species": ["Co", "Co", "Co", "Pt", "Pt", "Pt", "Pt", "Pt", "Pt", "Pt", "Pt", "Pt", "Pt", "Pt", "Pt", "Rh"], "frac_coords": [[0.000, 0.000, 0.500], [0.000, 0.000, 0.251], [0.000, 0.000, 0.749], [0.500, 0.500, 0.500], [0.500, 0.000, 0.376], [0.000, 0.500, 0.624], [0.500, 0.500, 0.747], [0.000, 0.500, 0.129], [0.500, 0.500, 0.253], [0.500, 0.000, 0.624], [0.500, 0.000, 0.871], [0.000, 0.500, 0.376], [0.000, 0.500, 0.871], [0.500, 0.500, 0.000], [0.500, 0.000, 0.129], [0.000, 0.000, 0.000]]}



(20)
{"formula": "CsYCo2Cu", "functional": "GGA-PBE", "state": "relaxed", "ef_mev_per_atom": 2068, "dft_energy_ev_per_atom": -3.06, "cell": [[-0.319, -4.528, 1.068], [4.446, 0.471, 3.327], [-2.794, 1.043, 3.585]], "species": ["Cu", "Cs", "Y", "Co", "Co"], "frac_coords": [[0.500, 0.500, 0.500], [0.000, 0.000, 0.000], [0.000, 0.500, 0.000], [0.000, 0.000, 0.500], [0.500, 0.000, 0.000]]}



no.,magnetic moment (μB/atom)
1,0.000
2,0.000
3,0.000
4,0.422
5,0.000
6,0.000
7,0.000
8,0.000
9,0.000
10,0.000
11,0.000
12,0.000
13,0.000
14,0.000
15,0.000
16,0.000
17,0.000
18,0.000
19,0.660
20,0.255